This record from Alexandria via LeMat-Bulk describes a crystal of CsCd3Cu relaxed with PBEsol. The functional is meta-GGA SCAN.

Calculated volume   27.5 Å³/atom
Crystal system   cubic
Energy relative to the elements   48 meV per atom
Symmetry   No. 221
Calculated total energy   -144.01 eV/cell

Structure (POSCAR):
```
CsCd3Cu
1.0
-1.4449 -4.6535 -1.7101
-1.4256 -1.3161 4.7858
-4.7485 1.8112 -0.9164
Cs Cu Cd
1 1 3
direct
0.5000 0.5000 0.5000
0.0000 0.0000 0.0000
0.0000 0.5000 0.0000
0.0000 0.0000 0.5000
0.5000 0.0000 0.0000
```